This record from Alexandria describes crystalline ZnPd4Au2 at its relaxed geometry. The functional is GGA-PBE.

The structure in POSCAR format:
```
ZnPd4Au2
1.0
6.2846 0.3876 2.5035
-3.5098 5.5245 1.7534
-0.2462 0.3876 6.7603
Zn Pd Au
2 8 4
Direct
0.5000 0.2500 0.2500
0.0000 0.0000 0.0000
0.7566 0.0457 0.3558
0.7434 0.5390 0.3625
0.0985 0.2043 0.5390
0.4015 0.3558 0.8875
0.2566 0.8942 0.2043
0.9015 0.3625 0.8942
0.5985 0.7110 0.0457
0.2434 0.8875 0.7110
0.1345 0.5095 0.1250
0.6345 0.1250 0.7405
0.8655 0.7405 0.6250
0.3655 0.6250 0.5095
```

Computed properties:
Space-group type = I-42d
Formation enthalpy at 0 K = -3.6 kJ/mol of atoms
Excess energy over the best structure of this formula in the dataset = 1.0 kJ per mole of atoms
DFT total energy = -57.724 eV per cell